Entry 1:
An optimized crystal structure of LaPmTlAu. Source: Alexandria, functional PBE. Values from VASP.

```
&SYSTEM
  ibrav = 0, nat = 16, ntyp = 4
/
ATOMIC_SPECIES
La 138.91 La.upf
Pm 145.00 Pm.upf
Tl 204.38 Tl.upf
Au 196.97 Au.upf
CELL_PARAMETERS angstrom
7.693 0.000 0.000
0.000 7.693 0.000
0.000 0.000 7.693
ATOMIC_POSITIONS angstrom
La 0.000 0.000 0.000
La 0.000 3.846 3.846
La 3.846 0.000 3.846
La 3.846 3.846 0.000
Pm 0.000 0.000 3.846
Pm 0.000 3.846 0.000
Pm 3.846 0.000 0.000
Pm 3.846 3.846 3.846
Tl 1.923 1.923 1.923
Tl 1.923 5.770 5.770
Tl 5.770 1.923 5.770
Tl 5.770 5.770 1.923
Au 1.923 1.923 5.770
Au 1.923 5.770 1.923
Au 5.770 1.923 1.923
Au 5.770 5.770 5.770
```

Results
DOS at the Fermi energy, states/eV per cell: 16.58
Calculated volume, Å³/f.u.: 113.8
Symmetry: F-43m, No. 216
Distance to the lowest polymorph of the same formula, eV per formula unit: 0.198


Entry 2:
An optimized crystal structure of In2Sb2Au5. Source: Alexandria, functional PBE. Values from VASP.

```
&SYSTEM
  ibrav = 0, nat = 9, ntyp = 3
/
ATOMIC_SPECIES
In 114.82 In.upf
Sb 121.76 Sb.upf
Au 196.97 Au.upf
CELL_PARAMETERS angstrom
3.945 0.000 0.000
-1.369 7.070 0.000
-0.856 -2.899 7.576
ATOMIC_POSITIONS angstrom
In -0.558 2.255 1.238
In 2.277 1.916 6.338
Sb -0.227 4.661 4.882
Sb 1.946 -0.490 2.693
Au -0.079 1.049 3.845
Au 0.278 -0.262 6.462
Au 1.972 0.000 0.000
Au 1.441 4.433 1.114
Au 1.798 3.122 3.730
```

Results
DOS at the Fermi energy, states/eV per cell: 3.53
Calculated volume, Å³/f.u.: 211.3
Symmetry: P-1, No. 2
Formation energy without anion corrections, eV/atom: -0.050
Distance to the lowest polymorph of the same formula, eV per formula unit: 0.256


Entry 3:
An optimized crystal structure of RbCdF3. Source: Alexandria, functional PBE. Values from VASP.

```
&SYSTEM
  ibrav = 0, nat = 10, ntyp = 3
/
ATOMIC_SPECIES
Rb 85.47 Rb.upf
Cd 112.41 Cd.upf
F 19.00 F.upf
CELL_PARAMETERS angstrom
3.476 0.000 0.000
0.000 7.460 0.000
0.000 0.000 11.861
ATOMIC_POSITIONS angstrom
Rb 0.000 0.000 0.000
Rb 0.000 3.730 5.931
Cd 1.738 0.000 4.113
Cd 1.738 3.730 10.044
F 0.000 1.375 4.603
F 0.000 2.355 10.534
F 0.000 5.105 10.534
F 0.000 6.085 4.603
F 1.738 0.000 1.960
F 1.738 3.730 7.891
```

Results
DOS at the Fermi energy, states/eV per cell: 0.00
Calculated volume, Å³/f.u.: 153.8
Symmetry: Amm2, No. 38
Formation energy without anion corrections, eV/atom: -2.300


Entry 4:
An optimized crystal structure of Tl12Br5F3. Source: Alexandria, functional PBE. Values from VASP.

```
&SYSTEM
  ibrav = 0, nat = 80, ntyp = 3
/
ATOMIC_SPECIES
Tl 204.38 Tl.upf
Br 79.90 Br.upf
F 19.00 F.upf
CELL_PARAMETERS angstrom
-9.270 9.270 9.270
9.270 -9.270 9.270
9.270 9.270 -9.270
ATOMIC_POSITIONS angstrom
Tl 2.923 -0.042 1.392
Tl 10.982 6.027 -4.677
Tl 12.192 0.042 1.392
Tl 10.982 -3.243 4.677
Tl 9.227 -1.392 2.923
Tl 13.947 -1.712 3.243
Tl 1.392 2.923 -0.042
Tl 12.513 4.593 -1.712
Tl 6.027 4.677 -1.712
Tl 7.878 2.923 0.042
Tl -0.042 1.392 2.923
Tl 4.677 -1.712 6.027
Tl 9.227 7.878 -2.923
Tl 4.677 1.712 3.243
Tl 6.027 -4.677 10.982
Tl 7.878 -2.923 9.227
Tl 3.243 4.677 1.712
Tl 10.662 6.347 0.042
Tl 4.677 10.982 -3.243
Tl 9.227 1.392 6.347
Tl 2.923 9.227 -1.392
Tl 10.982 3.243 4.593
Tl 1.712 3.243 4.677
Tl 2.923 0.042 7.878
Tl 6.347 9.227 1.392
Tl 7.558 6.027 4.593
Tl -1.712 6.027 4.677
Tl 6.347 0.042 10.662
Tl 0.042 7.878 2.923
Tl 4.593 -1.712 12.513
Tl -1.392 2.923 9.227
Tl 6.027 4.593 7.558
Tl 1.392 12.192 0.042
Tl 3.243 13.947 -1.712
Tl 4.593 7.558 6.027
Tl 0.042 1.392 12.192
Tl 4.593 10.982 3.243
Tl 9.312 7.878 6.347
Tl 1.392 6.347 9.227
Tl 3.243 4.593 10.982
Tl -3.243 4.677 10.982
Tl 7.878 6.347 9.312
Tl -4.677 10.982 6.027
Tl 0.042 10.662 6.347
Tl -1.712 12.513 4.593
Tl -2.923 9.227 7.878
Tl -1.712 3.243 13.947
Tl 6.347 9.312 7.878
Br 0.000 0.000 0.000
Br 4.635 4.635 -4.635
Br 4.635 -4.635 4.635
Br 9.270 0.000 0.000
Br 13.905 2.317 0.000
Br 9.270 -4.635 6.952
Br 6.952 9.270 -4.635
Br 6.952 0.000 4.635
Br 4.635 6.952 0.000
Br 9.270 4.635 2.317
Br -4.635 4.635 4.635
Br 0.000 9.270 0.000
Br 0.000 0.000 9.270
Br 4.635 4.635 4.635
Br 0.000 4.635 6.952
Br 4.635 2.317 9.270
Br 2.317 9.270 4.635
Br 2.317 0.000 13.905
Br 0.000 13.905 2.317
Br -4.635 6.952 9.270
F 4.635 2.317 0.000
F 9.270 4.635 -2.317
F 2.317 0.000 4.635
F 11.587 0.000 4.635
F 0.000 4.635 2.317
F 4.635 -2.317 9.270
F 4.635 11.587 0.000
F 9.270 4.635 6.952
F -2.317 9.270 4.635
F 6.952 9.270 4.635
F 0.000 4.635 11.587
F 4.635 6.952 9.270
```

Results
DOS at the Fermi energy, states/eV per cell: 53.00
Calculated volume, Å³/f.u.: 796.5
Symmetry: Ia-3d, No. 230
Formation energy without anion corrections, eV/atom: -0.621


Entry 5:
An optimized crystal structure of HgIr2Ru. Source: Alexandria, functional PBE. Values from VASP.

```
&SYSTEM
  ibrav = 0, nat = 8, ntyp = 3
/
ATOMIC_SPECIES
Hg 200.59 Hg.upf
Ir 192.22 Ir.upf
Ru 101.07 Ru.upf
CELL_PARAMETERS angstrom
9.319 0.000 0.000
0.000 2.805 0.000
-0.823 0.000 4.832
ATOMIC_POSITIONS angstrom
Hg 0.000 0.000 0.000
Hg 4.660 1.403 0.000
Ir 1.639 0.000 3.520
Ir 2.197 1.403 1.312
Ir 6.299 1.403 3.520
Ir 6.857 0.000 1.312
Ru -0.412 1.403 2.416
Ru 4.248 0.000 2.416
```

Results
DOS at the Fermi energy, states/eV per cell: 8.78
Calculated volume, Å³/f.u.: 63.2
Final energy, eV per atom: -6.427
Symmetry: C2/m, No. 12


Entry 6:
An optimized crystal structure of TlSnBi2Cl. Source: Alexandria, functional PBE. Values from VASP.

```
&SYSTEM
  ibrav = 0, nat = 5, ntyp = 4
/
ATOMIC_SPECIES
Tl 204.38 Tl.upf
Sn 118.71 Sn.upf
Bi 208.98 Bi.upf
Cl 35.45 Cl.upf
CELL_PARAMETERS angstrom
5.741 0.000 0.000
0.000 5.741 0.000
0.000 0.000 6.565
ATOMIC_POSITIONS angstrom
Tl 0.000 0.000 0.000
Sn 0.000 0.000 3.283
Bi 0.000 2.871 3.283
Bi 2.871 0.000 3.283
Cl 2.871 2.871 0.000
```

Results
DOS at the Fermi energy, states/eV per cell: 6.04
Calculated volume, Å³/f.u.: 216.4
Symmetry: P4/mmm, No. 123
Formation energy without anion corrections, eV/atom: 0.341


Entry 7:
An optimized crystal structure of SrTcAs2Br. Source: Alexandria, functional PBE. Values from VASP.

```
&SYSTEM
  ibrav = 0, nat = 5, ntyp = 4
/
ATOMIC_SPECIES
Sr 87.62 Sr.upf
Tc 98.00 Tc.upf
As 74.92 As.upf
Br 79.90 Br.upf
CELL_PARAMETERS angstrom
5.745 0.000 0.000
0.000 5.745 0.000
0.000 0.000 5.599
ATOMIC_POSITIONS angstrom
Sr 0.000 0.000 0.000
Tc 2.873 2.873 2.800
As 0.000 2.873 0.000
As 2.873 0.000 0.000
Br 0.000 0.000 2.800
```

Results
DOS at the Fermi energy, states/eV per cell: 3.61
Calculated volume, Å³/f.u.: 184.8
Symmetry: P4/mmm, No. 123
Formation energy without anion corrections, eV/atom: 1.146
Distance to the lowest polymorph of the same formula, eV per formula unit: 7.686


Entry 8:
An optimized crystal structure of CrRe2B2. Source: Alexandria, functional PBE. Values from VASP.

```
&SYSTEM
  ibrav = 0, nat = 10, ntyp = 3
/
ATOMIC_SPECIES
Cr 52.00 Cr.upf
Re 186.21 Re.upf
B 10.81 B.upf
CELL_PARAMETERS angstrom
5.886 0.000 0.000
0.000 5.886 0.000
0.000 0.000 3.010
ATOMIC_POSITIONS angstrom
Cr 0.000 0.000 0.000
Cr 2.943 2.943 0.000
Re 0.987 1.956 1.505
Re 1.956 4.900 1.505
Re 3.930 0.987 1.505
Re 4.900 3.930 1.505
B 0.733 3.676 0.000
B 2.210 0.733 0.000
B 3.676 5.153 0.000
B 5.153 2.210 0.000
```

Results
DOS at the Fermi energy, states/eV per cell: 6.72
Calculated volume, Å³/f.u.: 52.1
Final energy, eV per atom: -9.773
Symmetry: P4/mbm, No. 127